# 1
KRh2SN after structural relaxation. Source: Alexandria, functional PBE.

formation energy from raw total energies	14.63	eV/f.u.
size of the total moment	6.033	μB/f.u.
N(E_F)	1.52	states/eV/atom
space-group type	P4/mmm (123)

```
data_KRh2SN
_chemical_formula_sum 'K1 Rh2 S1 N1'
_space_group_name_H-M_alt 'P 1'
_space_group_IT_number 1
_space_group_name_Hall 'P 1'
_cell_length_a 5.175
_cell_length_b 5.408
_cell_length_c 5.175
_cell_angle_alpha 90.00
_cell_angle_beta 90.00
_cell_angle_gamma 90.00
loop_
_atom_site_label
_atom_site_fract_x
_atom_site_fract_y
_atom_site_fract_z
K1 0.000 0.000 0.000
Rh1 0.000 0.000 0.500
Rh2 0.500 0.000 0.000
S1 0.000 0.500 0.000
N1 0.500 0.500 0.500
```


# 2
KRhSN2 after structural relaxation. Source: Alexandria, functional PBE.

energy above the lowest structure with this stoichiometry	1.923	eV per atom
formation energy from raw total energies	13.61	eV/f.u.
size of the total moment	7.754	μB/f.u.
N(E_F)	1.36	states/eV/atom
space-group type	P4/mmm (123)

```
data_KRhSN2
_chemical_formula_sum 'K1 Rh1 S1 N2'
_space_group_name_H-M_alt 'P 1'
_space_group_IT_number 1
_space_group_name_Hall 'P 1'
_cell_length_a 4.726
_cell_length_b 4.726
_cell_length_c 5.922
_cell_angle_alpha 90.00
_cell_angle_beta 90.00
_cell_angle_gamma 90.00
loop_
_atom_site_label
_atom_site_fract_x
_atom_site_fract_y
_atom_site_fract_z
K1 0.000 0.000 0.000
Rh1 0.500 0.500 0.500
S1 0.000 0.000 0.500
N1 0.000 0.500 0.000
N2 0.500 0.000 0.000
```


> The highest N(E_F) belongs to which entry?

KRh2SN


> Number 1 is which compound?

KRh2SN


> Which formula does entry 2 have?

KRhSN2